[1]
This record from the Alexandria database describes a geometry-optimized LiAcPaS4 structure. The functional is PBE.

## Properties
- N(E_F) (states/eV/atom) = 0.681
- uncorrected formation energy (meV per atom) = -1715

Unit cell a=7.7437 b=7.7437 c=7.7437 alpha=110.85 beta=106.73 gamma=110.86
Last column: nearest neighbours and their distance in Å.
Sites, in units of the cell vectors:
Li1 0.0000 0.0000 0.0000  6 S 2.65-2.86
Li2 0.5000 0.0000 0.5000  6 S 2.65-2.86
Ac1 0.4069 0.6569 0.7500  6 S 2.92-3.08
Ac2 0.5931 0.3431 0.2500  6 S 2.92-3.08
Pa1 0.0000 0.0000 0.5000  6 S 2.66-2.78
Pa2 0.0000 0.5000 0.0000  6 S 2.66-2.78
S1 0.1377 0.7072 0.4305  1 Li 2.65, 2 Pa 2.78
S2 0.2233 0.2928 0.9305  1 Li 2.65, 2 Pa 2.78
S3 0.2966 0.2333 0.4368  1 Pa 2.66, 2 Li 2.86, 1 Ac 2.92
S4 0.2966 0.8598 0.0632  1 Pa 2.66, 2 Li 2.86, 1 Ac 2.92
S5 0.7034 0.1402 0.9368  1 Pa 2.66, 2 Li 2.86, 1 Ac 2.92
S6 0.7034 0.7667 0.5632  1 Pa 2.66, 2 Li 2.86, 1 Ac 2.92
S7 0.7767 0.7072 0.0695  1 Li 2.65, 2 Pa 2.78
S8 0.8623 0.2928 0.5695  1 Li 2.65, 2 Pa 2.78

---

[2]
This record from the Alexandria database describes a geometry-optimized LiAc2PaS6 structure. The functional is PBE.

## Properties
- N(E_F) (states/eV/atom) = 0.000
- uncorrected formation energy (meV per atom) = -1831

Unit cell a=7.0731 b=7.0731 c=7.1663 alpha=118.96 beta=118.96 gamma=58.47
Last column: nearest neighbours and their distance in Å.
Sites, in units of the cell vectors:
Li1 0.0000 0.0000 0.0000  6 S 2.52-2.78
Ac1 0.2580 0.2580 0.7873  5 S 2.96-3.03
Ac2 0.7420 0.7420 0.2127  5 S 2.96-3.03
Pa1 0.5000 0.5000 0.5000  6 S 2.62-2.63
S1 0.1799 0.6905 0.1821  1 Li 2.52, 1 Pa 2.63
S2 0.2554 0.2554 0.3720  1 Pa 2.62, 1 Li 2.78
S3 0.3095 0.8201 0.8179  1 Li 2.52, 1 Pa 2.63
S4 0.6905 0.1799 0.1821  1 Li 2.52, 1 Pa 2.63
S5 0.7446 0.7446 0.6280  1 Pa 2.62, 1 Li 2.78
S6 0.8201 0.3095 0.8179  1 Li 2.52, 1 Pa 2.63

---

[3]
This record from the Alexandria database describes a geometry-optimized LiAcPaSe4 structure. The functional is PBE.

## Properties
- N(E_F) (states/eV/atom) = 0.682
- uncorrected formation energy (meV per atom) = -1536

Unit cell a=8.0757 b=8.0757 c=8.0757 alpha=110.39 beta=106.52 gamma=111.55
Last column: nearest neighbours and their distance in Å.
Sites, in units of the cell vectors:
Li1 0.0000 0.0000 0.0000  6 Se 2.79-2.99
Li2 0.5000 0.0000 0.5000  6 Se 2.79-2.99
Ac1 0.3997 0.6497 0.7500  6 Se 3.05-3.22
Ac2 0.6003 0.3503 0.2500  6 Se 3.05-3.22
Pa1 0.0000 0.0000 0.5000  6 Se 2.79-2.93
Pa2 0.0000 0.5000 0.0000  6 Se 2.79-2.93
Se1 0.1322 0.7014 0.4308  1 Li 2.79, 2 Pa 2.93, 1 Ac 3.12
Se2 0.2294 0.2986 0.9308  1 Li 2.79, 2 Pa 2.93, 1 Ac 3.12
Se3 0.2996 0.2338 0.4342  1 Pa 2.79, 2 Li 2.99, 1 Ac 3.05
Se4 0.2996 0.8654 0.0658  1 Pa 2.79, 2 Li 2.99, 1 Ac 3.05
Se5 0.7004 0.1346 0.9342  1 Pa 2.79, 2 Li 2.99, 1 Ac 3.05
Se6 0.7004 0.7662 0.5658  1 Pa 2.79, 2 Li 2.99, 1 Ac 3.05
Se7 0.7706 0.7014 0.0692  1 Li 2.79, 2 Pa 2.93, 1 Ac 3.12
Se8 0.8678 0.2986 0.5692  1 Li 2.79, 2 Pa 2.93, 1 Ac 3.12

---

[4]
This record from the Alexandria database describes a geometry-optimized Li3Ac2PaSe6 structure. The functional is PBE.

## Properties
- N(E_F) (states/eV/atom) = 0.565
- uncorrected formation energy (meV per atom) = -1513

Unit cell a=7.5372 b=7.5372 c=6.9732 alpha=99.51 beta=99.51 gamma=120.91
Last column: nearest neighbours and their distance in Å.
Sites, in units of the cell vectors:
Li1 0.0000 0.0000 0.0000  6 Se 2.89-2.98
Li2 0.3591 0.6409 0.0000  4 Se 2.71-2.79
Li3 0.6409 0.3591 0.0000  4 Se 2.71-2.79
Ac1 0.1698 0.8302 0.5000  6 Se 3.11-3.12
Ac2 0.8302 0.1698 0.5000  6 Se 3.11-3.12
Pa1 0.5000 0.5000 0.5000  6 Se 2.91-2.92
Se1 0.1063 0.4147 0.2327  2 Li 2.79-2.89, 1 Pa 2.92, 2 Ac 3.11-3.12
Se2 0.2636 0.2636 0.7580  3 Li 2.71-2.98, 1 Pa 2.91
Se3 0.4147 0.1063 0.2327  2 Li 2.79-2.89, 1 Pa 2.92, 2 Ac 3.11-3.12
Se4 0.5853 0.8937 0.7673  2 Li 2.79-2.89, 1 Pa 2.92, 2 Ac 3.11-3.12
Se5 0.7364 0.7364 0.2420  3 Li 2.71-2.98, 1 Pa 2.91
Se6 0.8937 0.5853 0.7673  2 Li 2.79-2.89, 1 Pa 2.92, 2 Ac 3.11-3.12

---

[5]
This record from the Alexandria database describes a geometry-optimized LiAc2Pb structure. The functional is PBE.

## Properties
- N(E_F) (states/eV/atom) = 1.209

Unit cell a=12.9621 b=12.9621 c=12.9621 alpha=16.64 beta=16.64 gamma=16.64
Last column: nearest neighbours and their distance in Å.
Sites, in units of the cell vectors:
Li1 0.0000 0.0000 0.0000  2 Ac 3.51, 6 Li 3.75
Ac1 0.0915 0.0915 0.0915  1 Li 3.51, 3 Pb 3.60, 6 Ac 3.75
Ac2 0.9085 0.9085 0.9085  1 Li 3.51, 3 Pb 3.60, 6 Ac 3.75
Pb1 0.5000 0.5000 0.5000  6 Ac 3.60, 6 Pb 3.75

---

[6]
This record from the Alexandria database describes a geometry-optimized LiAcPb2 structure. The functional is PBE.

## Properties
- N(E_F) (states/eV/atom) = 0.871

Unit cell a=6.5275 b=6.5275 c=6.5275 alpha=43.79 beta=43.79 gamma=43.79
Last column: nearest neighbours and their distance in Å.
Sites, in units of the cell vectors:
Li1 0.0000 0.0000 0.0000  6 Pb 2.97
Ac1 0.5000 0.5000 0.5000  6 Pb 3.44
Pb1 0.2792 0.2792 0.2792  3 Li 2.97
Pb2 0.7208 0.7208 0.7208  3 Li 2.97

---

[7]
This record from the Alexandria database describes a geometry-optimized Li5Ac2Pb4 structure. The functional is PBE.

## Properties
- N(E_F) (states/eV/atom) = 0.647

Unit cell a=9.9449 b=8.9448 c=6.3630 alpha=79.06 beta=62.02 gamma=38.92
Last column: nearest neighbours and their distance in Å.
Sites, in units of the cell vectors:
Li1 0.0000 0.0000 0.0000  4 Pb 2.78
Li2 0.0000 0.0000 0.5000  4 Pb 3.04, 4 Li 3.18-3.29
Li3 0.2500 0.2500 0.2500  4 Pb 2.74
Li4 0.5000 0.5000 0.0000  4 Pb 3.04, 4 Li 3.18-3.29
Li5 0.7500 0.7500 0.7500  4 Pb 2.74
Ac1 0.3423 0.3423 0.6577  4 Li 3.53, 8 Pb 3.66-3.89
Ac2 0.6577 0.6577 0.3423  4 Li 3.53, 8 Pb 3.66-3.89
Pb1 0.0070 0.7175 0.2825  5 Li 2.74-3.04
Pb2 0.2825 0.9930 0.0070  5 Li 2.74-3.04
Pb3 0.7175 0.0070 0.9930  5 Li 2.74-3.04
Pb4 0.9930 0.2825 0.7175  5 Li 2.74-3.04

---

[8]
This record from the Alexandria database describes a geometry-optimized LiAcPb2 structure. The functional is PBE.

## Properties
- N(E_F) (states/eV/atom) = 0.647

Unit cell a=3.8038 b=3.8038 c=8.0781 alpha=90.00 beta=90.00 gamma=90.00
Last column: nearest neighbours and their distance in Å.
Sites, in units of the cell vectors:
Li1 0.0000 0.0000 0.0000  8 Pb 3.16
Ac1 0.0000 0.0000 0.5000  8 Pb 3.60, 4 Ac 3.80
Pb1 0.5000 0.5000 0.2042  4 Li 3.16, 1 Pb 3.30
Pb2 0.5000 0.5000 0.7958  4 Li 3.16, 1 Pb 3.30

---

[9]
This record from the Alexandria database describes a geometry-optimized Li2Ac3Pb4 structure. The functional is PBE.

## Properties
- N(E_F) (states/eV/atom) = 0.479

Unit cell a=6.6816 b=6.6816 c=9.5083 alpha=105.01 beta=105.01 gamma=43.35
Last column: nearest neighbours and their distance in Å.
Sites, in units of the cell vectors:
Li1 0.1882 0.1882 0.3673  4 Pb 2.82-3.10
Li2 0.8118 0.8118 0.6327  4 Pb 2.82-3.10
Ac1 0.1271 0.1271 0.6893  3 Li 3.35-3.51, 7 Pb 3.53-3.68
Ac2 0.5000 0.5000 0.0000  6 Pb 3.49-3.58
Ac3 0.8729 0.8729 0.3107  3 Li 3.35-3.51, 7 Pb 3.53-3.68
Pb1 0.2067 0.2067 0.0778  1 Li 2.82
Pb2 0.4153 0.4153 0.6083  3 Li 2.82-3.10
Pb3 0.5847 0.5847 0.3917  3 Li 2.82-3.10
Pb4 0.7933 0.7933 0.9222  1 Li 2.82

---

[10]
This record from the Alexandria database describes a geometry-optimized LiAc2Pb structure. The functional is PBE.

## Properties
- N(E_F) (states/eV/atom) = 0.892

Unit cell a=6.5056 b=6.5056 c=10.2404 alpha=113.18 beta=113.18 gamma=45.04
Last column: nearest neighbours and their distance in Å.
Sites, in units of the cell vectors:
Li1 0.0022 0.9978 0.7500  2 Pb 2.49
Li2 0.9978 0.0022 0.2500  2 Pb 2.49
Ac1 0.1790 0.1796 0.0897  2 Li 3.22, 1 Pb 3.49
Ac2 0.1796 0.1790 0.5897  2 Li 3.22, 1 Pb 3.49
Ac3 0.8204 0.8210 0.4103  2 Li 3.22, 1 Pb 3.49
Ac4 0.8210 0.8204 0.9103  2 Li 3.22, 1 Pb 3.49
Pb1 0.4978 0.5022 0.2500  2 Li 2.49
Pb2 0.5022 0.4978 0.7500  2 Li 2.49

---

[11]
This record from the Alexandria database describes a geometry-optimized LiAc3Pb structure. The functional is PBE.

## Properties
- N(E_F) (states/eV/atom) = 1.091

Unit cell a=9.5707 b=9.5707 c=10.0504 alpha=96.26 beta=96.26 gamma=24.04
Last column: nearest neighbours and their distance in Å.
Sites, in units of the cell vectors:
Li1 0.2130 0.2130 0.4339  2 Li 2.69
Li2 0.7870 0.7870 0.5661  2 Li 2.69
Ac1 0.0469 0.0469 0.2098  4 Pb 3.61-3.63, 1 Li 3.63, 2 Ac 3.99
Ac2 0.2430 0.2430 0.8288  2 Li 3.48, 3 Pb 3.52-3.57
Ac3 0.4055 0.4055 0.4170  3 Li 3.45-3.63, 1 Pb 3.54, 1 Ac 3.74
Ac4 0.5945 0.5945 0.5830  3 Li 3.45-3.63, 1 Pb 3.54, 1 Ac 3.74
Ac5 0.7570 0.7570 0.1712  2 Li 3.48, 3 Pb 3.52-3.57
Ac6 0.9531 0.9531 0.7902  4 Pb 3.61-3.63, 1 Li 3.63, 2 Ac 3.99
Pb1 0.3976 0.3976 0.0630  8 Ac 3.52-3.63
Pb2 0.6024 0.6024 0.9370  8 Ac 3.52-3.63

---

[12]
This record from the Alexandria database describes a geometry-optimized Li5Ac3Pb6 structure. The functional is PBE.

## Properties
- N(E_F) (states/eV/atom) = 0.210

Unit cell a=4.9324 b=14.5416 c=10.7315 alpha=90.00 beta=90.00 gamma=90.00
Last column: nearest neighbours and their distance in Å.
Sites, in units of the cell vectors:
Li1 0.2500 0.0967 0.1111  5 Pb 2.77-2.91
Li2 0.2500 0.4033 0.1111  5 Pb 2.77-2.91
Li3 0.2500 0.6040 0.4862  3 Pb 2.92-3.09
Li4 0.2500 0.7500 0.2275  6 Pb 3.15-3.33, 2 Li 3.50
Li5 0.2500 0.8960 0.4862  3 Pb 2.92-3.09
Li6 0.7500 0.1040 0.5138  3 Pb 2.92-3.09
Li7 0.7500 0.2500 0.7725  6 Pb 3.15-3.33, 2 Li 3.50
Li8 0.7500 0.3960 0.5138  3 Pb 2.92-3.09
Li9 0.7500 0.5967 0.8889  5 Pb 2.77-2.91
Li10 0.7500 0.9033 0.8889  5 Pb 2.77-2.91
Ac1 0.2500 0.0523 0.7450  7 Pb 3.45-3.65, 7 Li 3.58-3.80
Ac2 0.2500 0.4477 0.7450  7 Pb 3.45-3.65, 7 Li 3.58-3.80
Ac3 0.2500 0.7500 0.7589  6 Li 3.61-3.62, 8 Pb 3.65-3.94
Ac4 0.7500 0.2500 0.2411  6 Li 3.61-3.62, 8 Pb 3.65-3.94
Ac5 0.7500 0.5523 0.2550  7 Pb 3.45-3.65, 7 Li 3.58-3.80
Ac6 0.7500 0.9477 0.2550  7 Pb 3.45-3.65, 7 Li 3.58-3.80
Pb1 0.2500 0.0901 0.3695  4 Li 2.77-3.09
Pb2 0.2500 0.2500 0.5642  2 Pb 3.13, 6 Li 3.30-3.33, 2 Ac 3.47
Pb3 0.2500 0.2500 0.9545  2 Li 2.79
Pb4 0.2500 0.4099 0.3695  4 Li 2.77-3.09
Pb5 0.2500 0.5925 0.0233  4 Li 2.86-3.17
Pb6 0.2500 0.9075 0.0233  4 Li 2.86-3.17
Pb7 0.7500 0.0925 0.9767  4 Li 2.86-3.17
Pb8 0.7500 0.4075 0.9767  4 Li 2.86-3.17
Pb9 0.7500 0.5901 0.6305  4 Li 2.77-3.09
Pb10 0.7500 0.7500 0.0455  2 Li 2.79
Pb11 0.7500 0.7500 0.4358  2 Pb 3.13, 6 Li 3.30-3.33, 2 Ac 3.47
Pb12 0.7500 0.9099 0.6305  4 Li 2.77-3.09

---

Total DFT energy (no corrections) across the listed records, respectively: -0.2312 -0.2304 -0.2111 -0.1914 -0.1237 -0.1368 -0.1199 -0.1361 -0.1452 -0.1286 -0.1367 -0.1318 Ha/atom.